(1)
The following is a DFT calculation (PBE-GGA) of PmCd2RhO6 after structural relaxation.

Unit cell a=5.6772 b=5.7695 c=8.1890 alpha=90.00 beta=90.23 gamma=90.00
With the nearest neighbours (Å) after each atom.
Fractional positions:
O: 0.8434 0.7906 0.9294  1 Rh 1.98
O: 0.3434 0.7094 0.4294  1 Rh 1.98
O: 0.6124 0.0725 0.2728  1 Rh 2.01
O: 0.3876 0.9275 0.7272  1 Rh 2.01
O: 0.7953 0.8356 0.5521  1 Rh 1.97
O: 0.1566 0.2094 0.0706  1 Rh 1.98
O: 0.6566 0.2906 0.5706  1 Rh 1.98
O: 0.1124 0.4275 0.7728  1 Rh 2.01
O: 0.2953 0.6644 0.0521  1 Rh 1.97
O: 0.2047 0.1644 0.4479  1 Rh 1.97
O: 0.7047 0.3356 0.9479  1 Rh 1.97
O: 0.8876 0.5725 0.2272  1 Rh 2.01
Cd: 0.5011 0.5412 0.7556  4 O 2.27-2.33
Cd: 0.0011 0.9588 0.2556  4 O 2.27-2.33
Cd: 0.4989 0.4588 0.2444  4 O 2.27-2.33
Cd: 0.9989 0.0412 0.7444  4 O 2.27-2.33
Rh: 0.5000 0.0000 0.5000  6 O 1.97-2.01
Rh: 0.0000 0.5000 0.0000  6 O 1.97-2.01
Pm: 0.5000 0.0000 0.0000  6 O 2.30-2.37
Pm: 0.0000 0.5000 0.5000  6 O 2.30-2.37

## Properties
- VASP energy: -5.78 eV per atom
- Formation energy from raw total energies: -1361 kJ/mol of formula units
- N(E_F): 3.08 states/eV/f.u.


(2)
The following is a DFT calculation (PBE-GGA) of Pm2CdRhO6 after structural relaxation.

Unit cell a=5.5506 b=5.9827 c=8.0546 alpha=90.00 beta=89.88 gamma=90.00
With the nearest neighbours (Å) after each atom.
Fractional positions:
Rh: 0.0000 0.5000 0.0000  6 O 2.03-2.05
Rh: 0.5000 0.0000 0.5000  6 O 2.03-2.05
Cd: 0.0000 0.5000 0.5000  6 O 2.28-2.31
Cd: 0.5000 0.0000 0.0000  6 O 2.28-2.31
Pm: 0.4758 0.4277 0.2477  5 O 2.32-2.57
Pm: 0.5242 0.5723 0.7523  5 O 2.32-2.57
Pm: 0.0242 0.9277 0.2523  5 O 2.32-2.57
Pm: 0.9758 0.0723 0.7477  5 O 2.32-2.57
O: 0.7996 0.8226 0.5590  1 Rh 2.03
O: 0.1672 0.2112 0.0737  1 Rh 2.05
O: 0.6672 0.2888 0.5737  1 Rh 2.05
O: 0.7004 0.3226 0.9410  1 Rh 2.03
O: 0.2004 0.1774 0.4410  1 Rh 2.03
O: 0.3328 0.7112 0.4263  1 Rh 2.05
O: 0.2996 0.6774 0.0590  1 Rh 2.03
O: 0.3693 0.9433 0.7322  1 Rh 2.03
O: 0.1307 0.4433 0.7678  1 Rh 2.03
O: 0.6307 0.0567 0.2678  1 Rh 2.03
O: 0.8693 0.5567 0.2322  1 Rh 2.03
O: 0.8328 0.7888 0.9263  1 Rh 2.05

## Properties
- VASP energy: -6.87 eV per atom
- Formation energy from raw total energies: -2041 kJ/mol of formula units
- N(E_F): 6.91 states/eV/f.u.


(3)
The following is a DFT calculation (PBE-GGA) of PmCdRuO6 after structural relaxation.

Unit cell a=5.6628 b=5.6628 c=8.9170 alpha=90.00 beta=90.00 gamma=120.00
With the nearest neighbours (Å) after each atom.
Fractional positions:
Ru: 0.6667 0.3333 0.2500  6 O 1.92
Ru: 0.3333 0.6667 0.7500  6 O 1.92
O: 0.6148 0.6690 0.6293  1 Ru 1.92
O: 0.6690 0.0543 0.3707  1 Ru 1.92
O: 0.3852 0.3310 0.3707  1 Ru 1.92
O: 0.9457 0.3310 0.1293  1 Ru 1.92
O: 0.3852 0.0543 0.1293  1 Ru 1.92
O: 0.0543 0.3853 0.6293  1 Ru 1.92
O: 0.0543 0.6690 0.8707  1 Ru 1.92
O: 0.3310 0.9457 0.6293  1 Ru 1.92
O: 0.3310 0.3853 0.8707  1 Ru 1.92
O: 0.9457 0.6147 0.3707  1 Ru 1.92
O: 0.6148 0.9457 0.8707  1 Ru 1.92
O: 0.6690 0.6147 0.1293  1 Ru 1.92
Pm: 0.6667 0.3333 0.7500  6 O 2.33
Pm: 0.3333 0.6667 0.2500  6 O 2.33
Cd: 0.0000 0.0000 0.5000  6 O 2.35
Cd: 0.0000 0.0000 0.0000  6 O 2.35

## Properties
- VASP energy: -6.39 eV per atom
- Formation energy from raw total energies: -1233 kJ/mol of formula units
- N(E_F): 4.42 states/eV/f.u.


(4)
The following is a DFT calculation (PBE-GGA) of Pm2CdRuO8 after structural relaxation.

Unit cell a=4.6941 b=5.0062 c=7.3276 alpha=87.28 beta=87.81 gamma=93.79
With the nearest neighbours (Å) after each atom.
Fractional positions:
Pm: 0.5707 0.5396 0.2504  6 O 2.26-2.47
Pm: 0.4293 0.4604 0.7496  6 O 2.26-2.47
Cd: 0.0000 0.0000 0.5000  2 O 2.02
O: 0.3030 0.3081 0.4759  1 Cd 2.02, 2 Pm 2.26-2.27
O: 0.2981 0.2512 0.0451  1 Ru 1.87
O: 0.8679 0.2514 0.8225  1 Ru 1.92
O: 0.1321 0.7486 0.1775  1 Ru 1.92
O: 0.7019 0.7488 0.9549  1 Ru 1.87
O: 0.7810 0.1280 0.1973  1 Ru 1.90
O: 0.6970 0.6919 0.5241  1 Cd 2.02, 2 Pm 2.26-2.27
O: 0.2190 0.8720 0.8027  1 Ru 1.90
Ru: 0.0000 0.0000 0.0000  6 O 1.87-1.92

## Properties
- VASP energy: -6.69 eV per atom
- Formation energy from raw total energies: -2021 kJ/mol of formula units
- N(E_F): 0.12 states/eV/f.u.


(5)
The following is a DFT calculation (PBE-GGA) of Pm2CdS2O2 after structural relaxation.

Unit cell a=3.9005 b=6.3709 c=6.6056 alpha=63.23 beta=72.83 gamma=72.17
With the nearest neighbours (Å) after each atom.
Fractional positions:
O: 0.7944 0.3272 0.0840  1 Cd 2.25, 3 Pm 2.28-2.32
O: 0.2056 0.6728 0.9160  1 Cd 2.25, 3 Pm 2.28-2.32
S: 0.5744 0.1870 0.6642  2 Cd 2.77, 3 Pm 3.03-3.05
S: 0.4256 0.8130 0.3358  2 Cd 2.77, 3 Pm 3.03-3.05
Pm: 0.8023 0.6601 0.7353  3 O 2.28-2.32
Pm: 0.1977 0.3399 0.2647  3 O 2.28-2.32
Cd: 0.0000 0.0000 0.0000  2 O 2.25

## Properties
- VASP energy: -6.28 eV per atom
- Formation energy from raw total energies: -1486 kJ/mol of formula units
- N(E_F): 0.00 states/eV/f.u.


(6)
The following is a DFT calculation (PBE-GGA) of PmCdSO5 after structural relaxation.

Unit cell a=6.2335 b=6.2335 c=8.3335 alpha=107.44 beta=107.44 gamma=104.90
With the nearest neighbours (Å) after each atom.
Fractional positions:
O: 0.4348 0.2306 0.1164  1 S 1.48
O: 0.1481 0.7027 0.8508  1 S 1.50
O: 0.2973 0.8519 0.6492  1 S 1.50
O: 0.7027 0.1481 0.3508  1 S 1.50
O: 0.2306 0.4348 0.6164  1 S 1.48
O: 0.0874 0.9126 0.2500  1 Cd 2.15, 2 Pm 2.26
O: 0.8519 0.2973 0.1492  1 S 1.50
O: 0.9126 0.0874 0.7500  1 Cd 2.15, 2 Pm 2.26
O: 0.5652 0.7694 0.8836  1 S 1.48
O: 0.7694 0.5652 0.3836  1 S 1.48
S: 0.3109 0.6891 0.7500  4 O 1.48-1.50
S: 0.6891 0.3109 0.2500  4 O 1.48-1.50
Cd: 0.3053 0.6947 0.2500  1 O 2.15
Cd: 0.6947 0.3053 0.7500  1 O 2.15
Pm: 0.0000 0.0000 0.0000  6 O 2.26-2.45
Pm: 0.0000 0.0000 0.5000  6 O 2.26-2.45

## Properties
- VASP energy: -6.10 eV per atom
- Formation energy from raw total energies: -1373 kJ/mol of formula units
- N(E_F): 2.29 states/eV/f.u.


(7)
The following is a DFT calculation (PBE-GGA) of PmCd2SbO6 after structural relaxation.

Unit cell a=5.7148 b=5.7149 c=6.0005 alpha=61.56 beta=61.56 gamma=60.00
With the nearest neighbours (Å) after each atom.
Fractional positions:
O: 0.9711 0.5681 0.2535  1 Sb 2.02
O: 0.6720 0.1180 0.7866  1 Sb 2.04, 1 Cd 2.24
O: 0.2073 0.9711 0.2535  1 Sb 2.02
O: 0.5681 0.2074 0.2535  1 Sb 2.02
O: 0.1181 0.4232 0.7866  1 Sb 2.04, 1 Cd 2.24
O: 0.4232 0.6721 0.7866  1 Sb 2.04, 1 Cd 2.24
Pm: 0.8114 0.8114 0.5659  6 O 2.30-2.42
Cd: 0.5394 0.5394 0.3819  3 O 2.28
Cd: 0.0315 0.0315 0.9056  3 O 2.24
Sb: 0.3195 0.3195 0.0416  6 O 2.02-2.04

## Properties
- VASP energy: -5.86 eV per atom
- Formation energy from raw total energies: -1753 kJ/mol of formula units
- N(E_F): 0.00 states/eV/f.u.


(8)
The following is a DFT calculation (PBE-GGA) of PmCdSbO after structural relaxation.

Unit cell a=4.2912 b=4.2912 c=9.8040 alpha=90.00 beta=90.00 gamma=90.00
With the nearest neighbours (Å) after each atom.
Fractional positions:
Pm: 0.5000 0.0000 0.6066  4 O 2.39
Pm: 0.0000 0.5000 0.3934  4 O 2.39
Cd: 0.5000 0.5000 0.0000  4 Sb 2.94, 4 Cd 3.03
Cd: 0.0000 0.0000 0.0000  4 Sb 2.94, 4 Cd 3.03
O: 0.5000 0.5000 0.5000  4 Pm 2.39
O: 0.0000 0.0000 0.5000  4 Pm 2.39
Sb: 0.5000 0.0000 0.2044  4 Cd 2.94
Sb: 0.0000 0.5000 0.7956  4 Cd 2.94

## Properties
- VASP energy: -5.30 eV per atom
- Formation energy from raw total energies: -624 kJ/mol of formula units


Number 1: V 268.23 Å³/cell. Number 2: V 267.48 Å³/cell. Number 3: V 247.63 Å³/cell. Number 4: V 171.48 Å³/cell. Number 5: V 137.11 Å³/cell. Number 6: V 272.50 Å³/cell. Number 7: V 141.76 Å³/cell. Number 8: V 180.54 Å³/cell.